Entry 1:
First-principles (GGA-PBE) data for an optimized crystal structure of SrTl4In4, as listed in Alexandria.

**DFT formation energy**: -13 meV/atom
**Energy above the lowest structure with this stoichiometry**: 0.1099 eV per atom
**Raw total energy**: -2.47 eV per atom

Cell lengths 6.955, 6.955, 11.834 Å; angles 90.00, 90.00, 90.00 degrees
Fractional coordinates of all 18 atoms:
Sr: 0.000 0.000 0.000
Sr: 0.500 0.500 0.500
Tl: 0.222 0.500 0.930
Tl: 0.778 0.500 0.930
Tl: 0.500 0.778 0.070
Tl: 0.500 0.222 0.070
Tl: 0.000 0.722 0.430
Tl: 0.000 0.278 0.430
Tl: 0.278 0.000 0.570
Tl: 0.722 0.000 0.570
In: 0.500 0.772 0.781
In: 0.500 0.228 0.781
In: 0.772 0.500 0.219
In: 0.228 0.500 0.219
In: 0.272 0.000 0.281
In: 0.728 0.000 0.281
In: 0.000 0.272 0.719
In: 0.000 0.728 0.719



Entry 2:
First-principles (GGA-PBE) data for an optimized crystal structure of LuZnCo, as listed in Alexandria.

**DFT formation energy**: -217 meV/atom
**Raw total energy**: -4.52 eV per atom

Cell lengths 3.440, 4.184, 4.184 Å; angles 120.00, 90.00, 90.00 degrees
Each line ends with the local moment (μB).
Fractional coordinates of all 3 atoms:
Zn: 0.167 0.000 0.000  0.01
Lu: 0.667 0.667 0.333  0.06
Co: 0.167 0.333 0.667  -0.36



Entry 3:
First-principles (GGA-PBE) data for an optimized crystal structure of NiOsRh2, as listed in Alexandria.

**DFT formation energy**: 671 meV/atom
**Energy above the lowest structure with this stoichiometry**: 0.6342 eV per atom
**Raw total energy**: -7.26 eV per atom

Cell lengths 6.694, 6.694, 5.437 Å; angles 52.01, 52.01, 90.00 degrees
Fractional coordinates of all 8 atoms:
Rh: 0.627 0.125 0.250
Rh: 0.123 0.625 0.250
Rh: 0.375 0.373 0.750
Rh: 0.875 0.877 0.750
Os: 0.000 0.000 0.000
Os: 0.750 0.250 0.500
Ni: 0.500 0.500 0.000
Ni: 0.250 0.750 0.500